No. 1
# PBE Ca2ScW, relaxed
# Relative energy among the computed polymorphs in eV per atom: 0.294
# Volume in Å³/cell: 302
# Calculated formation energy in kcal/mol of atoms: 18.15
# VASP energy in eV per atom: -5.03
data_Ca2ScW
_chemical_formula_sum 'Ca6 Sc3 W3'
_symmetry_space_group_name_H-M 'R -3 m'
_symmetry_Int_Tables_number 166
_symmetry_space_group_name_Hall '-R 3 2"'
_cell_length_a 3.2070
_cell_length_b 3.2070
_cell_length_c 33.8767
_cell_angle_alpha 90.00
_cell_angle_beta 90.00
_cell_angle_gamma 120.00
loop_
_atom_site_label
_atom_site_fract_x
_atom_site_fract_y
_atom_site_fract_z
_atom_site_occupancy
Ca1 0.0000 0.0000 0.2413 1
Sc1 0.0000 0.0000 0.0000 1
W1 0.0000 0.0000 0.5000 1

---

No. 2
# PBE CaScW2, relaxed
# Relative energy among the computed polymorphs in eV per atom: 0.291
# Volume in Å³/cell: 156
# Calculated formation energy in kcal/mol of atoms: 14.56
# VASP energy in eV per atom: -7.93
data_CaScW2
_chemical_formula_sum 'Ca2 Sc2 W4'
_symmetry_space_group_name_H-M 'C m m m'
_symmetry_Int_Tables_number 65
_symmetry_space_group_name_Hall '-C 2 2'
_cell_length_a 3.640
_cell_length_b 4.281
_cell_length_c 9.985
_cell_angle_alpha 90.00
_cell_angle_beta 90.00
_cell_angle_gamma 90.00
loop_
_atom_site_label
_atom_site_fract_x
_atom_site_fract_y
_atom_site_fract_z
_atom_site_occupancy
Ca1 0.000 0.000 0.000 1
Sc1 0.000 0.000 0.500 1
W1 0.000 0.500 0.266 1

---

No. 3
# PBE CaSc2W, relaxed
# Relative energy among the computed polymorphs in eV per atom: 0.192
# Volume in Å³/cell: 96
# Calculated formation energy in kcal/mol of atoms: 10.88
# VASP energy in eV per atom: -6.43
data_CaSc2W
_chemical_formula_sum 'Ca1 Sc2 W1'
_symmetry_space_group_name_H-M 'P m m 2'
_symmetry_Int_Tables_number 25
_cell_length_a 3.115
_cell_length_b 4.327
_cell_length_c 7.142
_cell_angle_alpha 90.00
_cell_angle_beta 90.00
_cell_angle_gamma 90.00
loop_
_symmetry_equiv_pos_as_xyz
'x,y,z'
'-x,-y,z'
'-x,y,z'
'x,-y,z'
loop_
_atom_site_label
_atom_site_fract_x
_atom_site_fract_y
_atom_site_fract_z
_atom_site_occupancy
Ca1 0.000 0.000 0.000 1
Sc1 0.000 0.000 0.563 1
Sc2 0.500 0.500 0.330 1
W1 0.500 0.500 0.726 1

---

No. 4
# PBE Ca2ScW, relaxed
# Relative energy among the computed polymorphs in eV per atom: 0.295
# Volume in Å³/cell: 97
# Calculated formation energy in kcal/mol of atoms: 18.19
# VASP energy in eV per atom: -5.03
data_Ca2ScW
_chemical_formula_sum 'Ca2 Sc1 W1'
_symmetry_space_group_name_H-M 'P 1 2/m 1'
_symmetry_Int_Tables_number 10
_cell_length_a 3.022
_cell_length_b 5.453
_cell_length_c 5.968
_cell_angle_alpha 90.00
_cell_angle_beta 97.79
_cell_angle_gamma 90.00
loop_
_symmetry_equiv_pos_as_xyz
'x,y,z'
'-x,-y,-z'
'-x,y,-z'
'x,-y,z'
loop_
_atom_site_label
_atom_site_fract_x
_atom_site_fract_y
_atom_site_fract_z
_atom_site_occupancy
Ca1 0.220 0.000 0.236 1
Sc1 0.000 0.500 0.500 1
W1 0.500 0.500 0.000 1

---

No. 5
# PBE CaScW2, relaxed
# Relative energy among the computed polymorphs in eV per atom: 0.309
# Volume in Å³/cell: 83
# Calculated formation energy in kcal/mol of atoms: 14.97
# VASP energy in eV per atom: -7.91
data_CaScW2
_chemical_formula_sum 'Ca1 Sc1 W2'
_symmetry_space_group_name_H-M 'P m m m'
_symmetry_Int_Tables_number 47
_cell_length_a 2.798
_cell_length_b 4.824
_cell_length_c 6.159
_cell_angle_alpha 90.00
_cell_angle_beta 90.00
_cell_angle_gamma 90.00
loop_
_symmetry_equiv_pos_as_xyz
'x,y,z'
'-x,-y,-z'
'-x,-y,z'
'x,y,-z'
'x,-y,-z'
'-x,y,z'
'-x,y,-z'
'x,-y,z'
loop_
_atom_site_label
_atom_site_fract_x
_atom_site_fract_y
_atom_site_fract_z
_atom_site_occupancy
Ca1 0.000 0.000 0.000 1
Sc1 0.000 0.000 0.500 1
W1 0.500 0.500 0.296 1

---

No. 6
# PBE CaScW2, relaxed
# Relative energy among the computed polymorphs in eV per atom: 0.160
# Volume in Å³/cell: 86
# Calculated formation energy in kcal/mol of atoms: 11.54
# VASP energy in eV per atom: -8.06
data_CaScW2
_chemical_formula_sum 'Ca1 Sc1 W2'
_symmetry_space_group_name_H-M 'P 1 m 1'
_symmetry_Int_Tables_number 6
_cell_length_a 2.957
_cell_length_b 4.430
_cell_length_c 6.614
_cell_angle_alpha 90.00
_cell_angle_beta 98.91
_cell_angle_gamma 90.00
loop_
_symmetry_equiv_pos_as_xyz
'x,y,z'
'x,-y,z'
loop_
_atom_site_label
_atom_site_fract_x
_atom_site_fract_y
_atom_site_fract_z
_atom_site_occupancy
Ca1 0.000 0.000 0.000 1
Sc1 0.789 0.500 0.332 1
W1 0.286 0.500 0.717 1
W2 0.485 0.000 0.547 1

---

No. 7
# PBE Ca2ScW, relaxed
# Relative energy among the computed polymorphs in eV per atom: 0.123
# Volume in Å³/cell: 210
# Calculated formation energy in kcal/mol of atoms: 14.20
# VASP energy in eV per atom: -5.21
data_Ca2ScW
_chemical_formula_sum 'Ca4 Sc2 W2'
_symmetry_space_group_name_H-M 'C 1 m 1'
_symmetry_Int_Tables_number 8
_cell_length_a 9.687
_cell_length_b 3.094
_cell_length_c 7.029
_cell_angle_alpha 90.00
_cell_angle_beta 93.87
_cell_angle_gamma 90.00
loop_
_symmetry_equiv_pos_as_xyz
'x,y,z'
'x,-y,z'
'x+1/2,y+1/2,z'
'x+1/2,-y+1/2,z'
loop_
_atom_site_label
_atom_site_fract_x
_atom_site_fract_y
_atom_site_fract_z
_atom_site_occupancy
Ca1 0.000 0.000 0.000 1
Ca2 0.235 0.000 0.667 1
Sc1 0.255 0.500 0.262 1
W1 0.489 0.000 0.401 1

---

No. 8
# PBE CaScW, relaxed
# Relative energy among the computed polymorphs in eV per atom: 0.069
# Volume in Å³/cell: 137
# Calculated formation energy in kcal/mol of atoms: 14.49
# VASP energy in eV per atom: -6.47
data_CaScW
_chemical_formula_sum 'Ca2 Sc2 W2'
_symmetry_space_group_name_H-M 'I m m 2'
_symmetry_Int_Tables_number 44
_cell_length_a 2.963
_cell_length_b 4.408
_cell_length_c 10.469
_cell_angle_alpha 90.00
_cell_angle_beta 90.00
_cell_angle_gamma 90.00
loop_
_symmetry_equiv_pos_as_xyz
'x,y,z'
'-x,-y,z'
'-x,y,z'
'x,-y,z'
'x+1/2,y+1/2,z+1/2'
'-x+1/2,-y+1/2,z+1/2'
'-x+1/2,y+1/2,z+1/2'
'x+1/2,-y+1/2,z+1/2'
loop_
_atom_site_label
_atom_site_fract_x
_atom_site_fract_y
_atom_site_fract_z
_atom_site_occupancy
Ca1 0.000 0.000 0.000 1
Sc1 0.000 0.000 0.702 1
W1 0.000 0.000 0.315 1